1.
Hf2ZrNi | the Alexandria database | PBE | relaxed; distance to the lowest polymorph of the same formula = 0.000 eV/atom; VASP energy = -140.61 eV for the cell shown; DFT formation energy = -0.229 eV/atom; SG = Pnma
1.0
-4.8033 -1.1921 3.0459
2.8612 -4.4573 2.7675
2.7004 5.7828 6.5219
Ni Zr Hf
4 4 8
direct
0.1113 0.3866 0.2500
0.6113 0.1134 0.7500
0.8887 0.6134 0.7500
0.3887 0.8866 0.2500
0.1642 0.9698 0.7500
0.6642 0.5302 0.2500
0.8358 0.0302 0.2500
0.3358 0.4698 0.7500
0.3606 0.2020 0.0536
0.1394 0.7020 0.4464
0.1394 0.7020 0.0536
0.3606 0.2020 0.4464
0.8606 0.2980 0.5536
0.8606 0.2980 0.9464
0.6394 0.7980 0.9464
0.6394 0.7980 0.5536

=====

2.
HfZr2Ni2 | the Alexandria database | PBE | relaxed; distance to the lowest polymorph of the same formula = 0.272 eV/atom; VASP energy = -38.92 eV for the cell shown; DFT formation energy = -0.061 eV/atom; SG = I4/mmm
1.0
-3.5751 1.0089 -2.3245
2.0377 -1.2449 -3.6743
-2.4747 -4.7372 -2.3804
Hf Zr Ni
1 2 2
direct
0.0000 0.0000 0.0000
0.2500 0.7500 0.5000
0.7500 0.2500 0.5000
0.3879 0.3879 0.2243
0.6121 0.6121 0.7757

=====

3.
Hf2ZrNi2 | the Alexandria database | PBE | relaxed; distance to the lowest polymorph of the same formula = 0.319 eV/atom; VASP energy = -40.23 eV for the cell shown; DFT formation energy = -0.043 eV/atom; SG = I4/mmm
1.0
-2.9976 -1.3280 -0.5669
0.9964 -2.8479 1.4024
-3.6639 0.6995 7.9705
Ni Hf Zr
2 2 1
direct
0.2500 0.7500 0.5000
0.7500 0.2500 0.5000
0.3719 0.3719 0.2563
0.6281 0.6281 0.7437
0.0000 0.0000 0.0000

=====

4.
HfZr2Ni2 | the Alexandria database | PBE | relaxed; distance to the lowest polymorph of the same formula = 0.316 eV/atom; VASP energy = -38.70 eV for the cell shown; DFT formation energy = -0.017 eV/atom; SG = I4/mmm
1.0
-0.3027 0.5121 -3.2611
-0.7627 -3.1970 -0.4312
-8.8969 0.5091 -0.7790
Zr Hf Ni
2 1 2
direct
0.6271 0.6271 0.7459
0.3729 0.3729 0.2541
0.0000 0.0000 0.0000
0.2500 0.7500 0.5000
0.7500 0.2500 0.5000

=====

Question: Number 3 is which compound?
Answer: Hf2ZrNi2